No. 1
Crystalline TcPPb at its relaxed geometry, computed with GGA-PBE.

a = 3.2598 Å, b = 3.2598 Å, c = 6.3264 Å
α = 90.00°, β = 90.00°, γ = 120.00°
Element x y z (fractional)
Tc 0.3333 0.6667 0.7156
P 0.0000 0.0000 0.9360
Pb 0.6667 0.3333 0.3483

Output
M_tot in Bohr magnetons per cell: 0.00
Uncorrected energy in eV/f.u.: -19.4
Calculated formation energy in eV/f.u.: 0.093

---

No. 2
Crystalline Zr2IrRh at its relaxed geometry, computed with GGA-PBE.

a = 5.8844 Å, b = 5.8844 Å, c = 5.8844 Å
α = 59.80°, β = 151.44°, γ = 128.66°
Element x y z (fractional)
Zr 0.0000 0.2484 0.2484
Zr 0.0000 0.7516 0.7516
Ir 0.0000 0.5000 0.5000
Rh 0.0000 0.0000 0.0000

Output
M_tot in Bohr magnetons per cell: 0.00
Uncorrected energy in eV/f.u.: -32.6
Calculated formation energy in eV/f.u.: 0.689